Here is a PBEsol-optimized structure of NbTl2TcP from the Alexandria database. Energies are from SCAN.

## Properties
The formation energy is 1154 meV per atom. Its space-group type is No. 123. As for the volume: 27.040 Å³ per atom. As for the total magnetization: 5.16 μB/f.u.

a = 4.6658 Å, b = 5.3830 Å, c = 5.3830 Å
α = 90.00°, β = 90.00°, γ = 90.00°
Site moments in Bohr magnetons follow the coordinates.
Fractional positions:
1 P 0.5000 0.0000 0.0000  0.00
2 Tl 0.0000 0.0000 0.5000  0.01
3 Tl 0.0000 0.5000 0.0000  0.01
4 Tc 0.5000 0.5000 0.5000  4.17
5 Nb 0.0000 0.0000 0.0000  0.44